Entry 1:
DFT (GGA-PBE) results for crystalline Sm3Er3NiTe2 at its relaxed geometry.

final energy	-5.0640	eV per atom
symmetry	P-62m
crystal system	hexagonal

POSCAR file:
```
Sm3Er3NiTe2
1.0
8.501 0.000 0.000
-4.251 7.362 0.000
0.000 0.000 3.879
Er Ni Sm Te
3 1 3 2
Cartesian
5.055 0.000 0.000
1.723 2.985 0.000
-2.528 4.378 0.000
0.000 0.000 0.000
2.061 0.000 1.939
-1.031 1.785 1.939
3.220 5.577 1.939
4.251 2.454 1.939
0.000 4.908 1.939
```

---

Entry 2:
DFT (GGA-PBE) results for crystalline NdS at its relaxed geometry.

final energy	-6.4737	eV per atom
symmetry	R-3m
crystal system	trigonal

POSCAR file:
```
NdS
1.0
2.036 1.175 6.618
-2.036 1.175 6.618
0.000 -2.351 6.618
Nd S
2 2
Cartesian
0.000 0.000 4.961
0.000 0.000 14.892
0.000 0.000 0.000
0.000 0.000 9.927
```

---

Entry 3:
DFT (GGA-PBE) results for crystalline TlCuReNi at its relaxed geometry.

final energy	-5.3075	eV per atom
symmetry	F-43m
crystal system	cubic

POSCAR file:
```
TlCuReNi
1.0
0.000 3.106 3.106
3.106 0.000 3.106
3.106 3.106 0.000
Cu Ni Re Tl
1 1 1 1
Cartesian
4.658 4.658 4.658
1.553 1.553 1.553
3.106 3.106 3.106
0.000 0.000 0.000
```

---

Entry 4:
DFT (GGA-PBE) results for crystalline HfZrH2 at its relaxed geometry.

final energy	-6.7210	eV per atom
symmetry	Pmmm
crystal system	orthorhombic

POSCAR file:
```
HfZrH2
1.0
-1.023 2.795 1.160
-1.785 0.437 -2.628
-3.784 -2.293 2.189
H Hf Zr
2 1 1
Cartesian
-1.816 -0.341 -0.780
-3.753 -1.515 0.341
0.000 0.000 0.000
-3.296 0.470 0.360
```

---

Entry 5:
DFT (GGA-PBE) results for crystalline Co at its relaxed geometry.

final energy	-7.0571	eV per atom
symmetry	I-43m
crystal system	cubic

POSCAR file:
```
Co
1.0
-4.283 4.283 4.283
4.283 -4.283 4.283
4.283 4.283 -4.283
Co
29
Cartesian
0.000 0.000 0.000
-2.748 2.748 2.748
-0.780 0.780 2.414
0.780 -0.780 2.414
-1.214 1.214 4.635
2.748 -2.748 2.748
1.214 -1.214 4.635
0.780 0.780 6.153
-0.780 2.414 0.780
2.414 -0.780 0.780
1.214 1.214 3.932
-0.352 3.070 3.070
3.070 -0.352 3.070
1.535 1.535 1.535
0.780 2.414 -0.780
2.414 0.780 -0.780
-1.214 4.635 1.214
4.635 -1.214 1.214
1.214 3.932 1.214
3.932 1.214 1.214
1.870 3.503 3.503
3.503 1.870 3.503
2.748 2.748 -2.748
1.214 4.635 -1.214
4.635 1.214 -1.214
3.070 3.070 -0.352
0.780 6.153 0.780
6.153 0.780 0.780
3.503 3.503 1.870
```

---

Entry 6:
DFT (GGA-PBE) results for crystalline Hf2Si3Ag2 at its relaxed geometry.

final energy	-6.0470	eV per atom
symmetry	Cmmm
crystal system	orthorhombic

POSCAR file:
```
Hf2Si3Ag2
1.0
4.156 3.287 10.028
-4.922 -6.436 -7.937
2.564 -1.092 -0.705
Ag Hf Si
2 2 3
Cartesian
1.481 0.422 4.734
-2.247 -3.571 -2.643
0.261 -0.884 2.321
-1.027 -2.264 -0.229
1.282 -0.546 -0.352
4.224 1.441 7.273
-2.426 -5.682 -5.887
```

---

Entry 7:
DFT (GGA-PBE) results for crystalline AlCu2Tc at its relaxed geometry.

final energy	-5.3495	eV per atom
symmetry	F-43m
crystal system	cubic

POSCAR file:
```
AlCu2Tc
1.0
0.000 2.968 2.968
2.968 0.000 2.968
2.968 2.968 0.000
Al Cu Tc
1 2 1
Cartesian
2.968 2.968 2.968
0.000 0.000 0.000
4.453 4.453 4.453
1.484 1.484 1.484
```

---

Entry 8:
DFT (GGA-PBE) results for crystalline NbCoSn2 at its relaxed geometry.

final energy	-5.8214	eV per atom
symmetry	F-43m
crystal system	cubic

POSCAR file:
```
NbCoSn2
1.0
-4.711 0.607 -0.267
-2.035 1.011 -4.180
-2.698 -3.255 -2.181
Co Nb Sn
1 1 2
Cartesian
-2.361 -0.409 -1.657
-4.722 -0.819 -3.314
0.000 0.000 0.000
-7.083 -1.228 -4.971
```

---

Entry 9:
DFT (GGA-PBE) results for crystalline TbAlPO at its relaxed geometry.

final energy	-6.4081	eV per atom
symmetry	Pmc2_1
crystal system	orthorhombic

POSCAR file:
```
TbAlPO
1.0
-0.187 3.929 0.369
-3.964 0.028 -2.307
-3.368 -0.702 5.779
Al O P Tb
2 2 2 2
Cartesian
-2.830 -0.299 1.756
-5.780 -0.641 3.909
-2.919 1.666 1.936
-5.871 1.324 4.087
-4.270 -0.177 -0.279
-3.298 -0.547 4.156
-1.064 1.906 0.320
-5.380 1.573 1.677
```

---

Entry 10:
DFT (GGA-PBE) results for crystalline NdCl2 at its relaxed geometry.

final energy	-4.7611	eV per atom
symmetry	P4_2/mnm
crystal system	tetragonal

POSCAR file:
```
NdCl2
1.0
7.072 0.000 0.000
0.000 7.072 0.000
0.000 0.000 3.607
Cl Nd
4 2
Cartesian
1.978 1.978 0.000
5.094 5.094 0.000
5.514 1.558 1.803
1.558 5.514 1.803
0.000 0.000 0.000
3.536 3.536 1.803
```

---

Entry 11:
DFT (GGA-PBE) results for crystalline KTbDyCu2 at its relaxed geometry.

final energy	-3.5574	eV per atom
symmetry	Amm2
crystal system	orthorhombic

POSCAR file:
```
KTbDyCu2
1.0
-1.935 -1.574 2.800
1.493 7.165 5.058
-2.211 8.074 3.010
Cu Dy K Tb
2 1 1 1
Cartesian
-1.116 2.365 3.069
-1.538 11.311 7.804
-0.237 5.031 2.664
-1.686 14.446 9.464
-0.481 10.204 5.402
```

---

Entry 12:
DFT (GGA-PBE) results for crystalline Zr4BiAsC2 at its relaxed geometry.

final energy	-8.4838	eV per atom
symmetry	P-6m2
crystal system	hexagonal

POSCAR file:
```
Zr4BiAsC2
1.0
-1.919 0.735 -2.790
-1.470 -0.104 3.136
2.651 13.319 1.683
As Bi C Zr
1 1 2 4
Cartesian
-0.294 6.835 2.002
-1.770 0.455 -0.815
0.707 3.549 0.448
1.945 9.770 1.234
-1.146 2.557 1.462
-0.817 5.238 -0.210
-0.070 8.991 0.264
0.557 11.113 2.542
```